A plane-wave DFT calculation with GGA-PBE was carried out for an optimized crystal structure of K2TiCl4F2.

a b c (Å): 6.5679 6.5679 5.5952
angles (deg): 100.10 100.10 64.80
Positions (direct):
K  0.1719  0.1719  0.3168
K  0.8281  0.8281  0.6832
Ti  0.5000  0.5000  0.0000
Cl  0.1629  0.6475  0.1945
Cl  0.3525  0.8371  0.8055
Cl  0.6475  0.1629  0.1945
Cl  0.8371  0.3525  0.8055
F  0.3641  0.3641  0.7403
F  0.6359  0.6359  0.2597

## Properties
Theoretical density = 2.38 g cm⁻³
Symmetry = C2/m
Energy relative to the elements, uncorrected = -2257 meV per atom

***

A plane-wave DFT calculation with GGA-PBE was carried out for an optimized crystal structure of ZnPBr3.

a b c (Å): 5.1592 5.1592 5.1592
angles (deg): 90.00 90.00 90.00
Positions (direct):
Zn  0.0000  0.0000  0.0000
P  0.5000  0.5000  0.5000
Br  0.0000  0.5000  0.5000
Br  0.5000  0.0000  0.5000
Br  0.5000  0.5000  0.0000

## Properties
Theoretical density = 4.06 g cm⁻³
Symmetry = Pm-3m
Energy relative to the elements, uncorrected = 110 meV per atom

***

A plane-wave DFT calculation with GGA-PBE was carried out for an optimized crystal structure of HoPdAu6.

a b c (Å): 6.0027 6.0027 4.7893
angles (deg): 90.00 90.00 120.00
Positions (direct):
Ho  0.0000  0.0000  0.0000
Pd  0.3333  0.6667  0.5000
Au  0.0056  0.5028  0.0000
Au  0.3409  0.1704  0.5000
Au  0.4972  0.5028  0.0000
Au  0.4972  0.9944  0.0000
Au  0.8296  0.1704  0.5000
Au  0.8296  0.6591  0.5000

## Properties
ΔH_f (0 K) = -0.34 eV/atom
Theoretical density = 16.14 g cm⁻³
Symmetry = P-6m2

***

A plane-wave DFT calculation with GGA-PBE was carried out for an optimized crystal structure of InS2O.

a b c (Å): 6.7473 6.7473 6.7473
angles (deg): 34.31 34.31 34.31
Positions (direct):
In  0.0000  0.0000  0.0000
S  0.4067  0.4067  0.4067
S  0.5933  0.5933  0.5933
O  0.5000  0.5000  0.5000

## Properties
Theoretical density = 3.72 g cm⁻³
Symmetry = R-3m
Energy relative to the elements, uncorrected = -22 meV per atom

***

A plane-wave DFT calculation with GGA-PBE was carried out for an optimized crystal structure of LaFe3Rh.

a b c (Å): 4.4566 4.4566 4.4566
angles (deg): 90.00 90.00 90.00
Positions (direct):
La  0.0000  0.0000  0.0000
Fe  0.0000  0.0000  0.5000
Fe  0.0000  0.5000  0.0000
Fe  0.5000  0.0000  0.0000
Rh  0.5000  0.5000  0.5000

## Properties
ΔH_f (0 K) = 1.73 eV/atom
Theoretical density = 7.68 g cm⁻³
Symmetry = Pm-3m

***

A plane-wave DFT calculation with GGA-PBE was carried out for an optimized crystal structure of Ce2AsO.

a b c (Å): 5.7501 5.7418 12.0329
angles (deg): 90.00 116.96 90.00
Positions (direct):
Ce  0.1013  0.2298  0.1040
Ce  0.1013  0.7702  0.6040
Ce  0.3284  0.2377  0.8543
Ce  0.3284  0.7623  0.3543
Ce  0.6716  0.2377  0.6457
Ce  0.6716  0.7623  0.1457
Ce  0.8987  0.2298  0.3960
Ce  0.8987  0.7702  0.8960
As  0.3777  0.2614  0.3749
As  0.3777  0.7386  0.8749
As  0.6223  0.2614  0.1251
As  0.6223  0.7386  0.6251
O  0.0785  0.2052  0.6245
O  0.0785  0.7948  0.1245
O  0.9215  0.2052  0.8755
O  0.9215  0.7948  0.3755

## Properties
Theoretical density = 6.96 g cm⁻³
Symmetry = P2/c
Energy relative to the elements, uncorrected = -1926 meV per atom

***

A plane-wave DFT calculation with GGA-PBE was carried out for an optimized crystal structure of Ba2BiTeO6.

a b c (Å): 6.1962 6.1962 6.1962
angles (deg): 119.95 119.95 90.08
Positions (direct):
Ba  0.2500  0.7500  0.5000
Ba  0.7500  0.2500  0.5000
Bi  0.0000  0.0000  0.0000
Te  0.5000  0.5000  0.0000
O  0.2643  0.2643  0.0000
O  0.2643  0.2643  0.5286
O  0.2643  0.7357  0.0000
O  0.7357  0.2643  0.0000
O  0.7357  0.7357  0.0000
O  0.7357  0.7357  0.4714

## Properties
Theoretical density = 6.98 g cm⁻³
Symmetry = I4/mmm
Energy relative to the elements, uncorrected = -1842 meV per atom

***

A plane-wave DFT calculation with GGA-PBE was carried out for an optimized crystal structure of Sr5In4Ag.

a b c (Å): 4.0733 4.0733 19.9635
angles (deg): 90.00 90.00 90.00
Positions (direct):
Sr  0.0000  0.0000  0.0000
Sr  0.0000  0.0000  0.2021
Sr  0.0000  0.0000  0.4034
Sr  0.0000  0.0000  0.5966
Sr  0.0000  0.0000  0.7979
In  0.5000  0.5000  0.1035
In  0.5000  0.5000  0.3005
In  0.5000  0.5000  0.6995
In  0.5000  0.5000  0.8965
Ag  0.5000  0.5000  0.5000

## Properties
ΔH_f (0 K) = -0.39 eV/atom
Theoretical density = 5.04 g cm⁻³
Symmetry = P4/mmm

***

A plane-wave DFT calculation with GGA-PBE was carried out for an optimized crystal structure of Ho4In3Ir.

a b c (Å): 3.5174 3.5174 15.9434
angles (deg): 90.00 90.00 90.00
Positions (direct):
Ho  0.0000  0.0000  0.1013
Ho  0.0000  0.0000  0.3683
Ho  0.0000  0.0000  0.6317
Ho  0.0000  0.0000  0.8987
In  0.5000  0.5000  0.2388
In  0.5000  0.5000  0.5000
In  0.5000  0.5000  0.7612
Ir  0.5000  0.5000  0.0000

## Properties
ΔH_f (0 K) = -0.57 eV/atom
Theoretical density = 10.07 g cm⁻³
Symmetry = P4/mmm

***

A plane-wave DFT calculation with GGA-PBE was carried out for an optimized crystal structure of AuCl2F6.

a b c (Å): 7.6755 7.6755 7.0667
angles (deg): 108.52 108.52 72.70
Positions (direct):
Au  0.1529  0.8471  0.7500
Au  0.8471  0.1529  0.2500
Cl  0.1644  0.5293  0.2842
Cl  0.4707  0.8356  0.2158
Cl  0.5293  0.1644  0.7842
Cl  0.8356  0.4707  0.7158
F  0.0031  0.6949  0.5096
F  0.0749  0.7648  0.9378
F  0.2352  0.9251  0.5622
F  0.2931  0.4120  0.1142
F  0.3051  0.9969  0.9904
F  0.4120  0.2931  0.6142
F  0.5880  0.7069  0.3858
F  0.6949  0.0031  0.0096
F  0.7069  0.5880  0.8858
F  0.7648  0.0749  0.4378
F  0.9251  0.2352  0.0622
F  0.9969  0.3051  0.4904

## Properties
Theoretical density = 3.47 g cm⁻³
Symmetry = C2/c
Energy relative to the elements, uncorrected = -676 meV per atom

***

A plane-wave DFT calculation with GGA-PBE was carried out for an optimized crystal structure of K6Fe24S26Cl.

a b c (Å): 12.0760 12.0760 12.0760
angles (deg): 131.65 131.65 70.78
Positions (direct):
K  0.0000  0.2998  0.2998
K  0.0000  0.7002  0.7002
K  0.1532  0.1532  0.0000
K  0.2998  0.0000  0.2998
K  0.7002  0.0000  0.7002
K  0.8468  0.8468  0.0000
Fe  0.0512  0.5495  0.2348
Fe  0.0512  0.8164  0.5016
Fe  0.1836  0.6853  0.2348
Fe  0.1836  0.9488  0.4984
Fe  0.3007  0.3007  0.7354
Fe  0.3007  0.5653  0.0000
Fe  0.3147  0.5495  0.4984
Fe  0.3147  0.8164  0.7652
Fe  0.4347  0.4347  0.7354
Fe  0.4347  0.6993  0.0000
Fe  0.4505  0.6853  0.5016
Fe  0.4505  0.9488  0.7652
Fe  0.5495  0.0512  0.2348
Fe  0.5495  0.3147  0.4984
Fe  0.5653  0.3007  0.0000
Fe  0.5653  0.5653  0.2646
Fe  0.6853  0.1836  0.2348
Fe  0.6853  0.4505  0.5016
Fe  0.6993  0.4347  0.0000
Fe  0.6993  0.6993  0.2646
Fe  0.8164  0.0512  0.5016
Fe  0.8164  0.3147  0.7652
Fe  0.9488  0.1836  0.4984
Fe  0.9488  0.4505  0.7652
S  0.0020  0.7491  0.2529
S  0.1156  0.1156  0.4591
S  0.1156  0.6565  0.0000
S  0.1238  0.6238  0.5000
S  0.2509  0.5000  0.7509
S  0.2509  0.5037  0.2529
S  0.2509  0.9980  0.7471
S  0.3435  0.3435  0.4591
S  0.3435  0.8844  0.0000
S  0.3752  0.3752  0.0000
S  0.3762  0.8762  0.5000
S  0.4963  0.7491  0.7471
S  0.5000  0.2509  0.7509
S  0.5000  0.7491  0.2491
S  0.5037  0.2509  0.2529
S  0.6238  0.1238  0.5000
S  0.6248  0.6248  0.0000
S  0.6565  0.1156  0.0000
S  0.6565  0.6565  0.5409
S  0.7491  0.0020  0.2529
S  0.7491  0.4963  0.7471
S  0.7491  0.5000  0.2491
S  0.8762  0.3762  0.5000
S  0.8844  0.3435  0.0000
S  0.8844  0.8844  0.5409
S  0.9980  0.2509  0.7471
Cl  0.0000  0.0000  0.0000

## Properties
Theoretical density = 4.21 g cm⁻³
Symmetry = I4/mmm
Energy relative to the elements, uncorrected = -556 meV per atom

***

Look up the theoretical density of the sixth one. 6.96 g cm⁻³